Record 1
{"formula": "CoMoW2", "functional": "PBE-GGA", "state": "relaxed", "total_energy_ry_per_atom": -0.7844, "formation_energy_ev_per_atom": 0.289, "total_magnetization_mub_per_cell": 0.00, "e_above_lowest_polymorph_ev_per_atom": 0.214, "volume_a3_per_atom": 14.9, "lattice_angstrom": [[2.671, 0.000, 0.000], [0.000, 3.921, 0.000], [0.000, 0.000, 5.699]], "species": ["Co", "W", "Mo", "W"], "fractional_positions": [[0.000, 0.000, 0.498], [0.500, 0.500, 0.267], [0.500, 0.500, 0.735], [0.000, 0.000, 0.999]]}

***

Record 2
{"formula": "CoMoW2", "functional": "PBE-GGA", "state": "relaxed", "total_energy_ry_per_atom": -0.7842, "formation_energy_ev_per_atom": 0.292, "total_magnetization_mub_per_cell": 0.00, "e_above_lowest_polymorph_ev_per_atom": 0.216, "volume_a3_per_atom": 14.9, "lattice_angstrom": [[2.671, 0.000, 0.000], [0.000, 3.929, 0.000], [0.000, 0.000, 5.681]], "species": ["Co", "W", "W", "Mo"], "fractional_positions": [[0.500, 0.500, 0.250], [0.000, 0.000, 0.485], [0.000, 0.000, 0.015], [0.500, 0.500, 0.750]]}

***

Record 3
{"formula": "CoMoW2", "functional": "PBE-GGA", "state": "relaxed", "total_energy_ry_per_atom": -0.8001, "formation_energy_ev_per_atom": 0.076, "total_magnetization_mub_per_cell": 0.00, "e_above_lowest_polymorph_ev_per_atom": 0.000, "volume_a3_per_atom": 14.7, "lattice_angstrom": [[-1.305, 2.339, 0.366], [-1.942, -1.821, -0.470], [-0.511, -1.563, 8.165]], "species": ["Mo", "W", "W", "Co"], "fractional_positions": [[0.500, 0.500, 0.750], [0.000, 0.000, 0.478], [0.000, 0.000, 0.022], [0.500, 0.500, 0.250]]}

***

Record 4
{"formula": "Co2MoW", "functional": "PBE-GGA", "state": "relaxed", "total_energy_ry_per_atom": -0.6779, "formation_energy_ev_per_atom": 0.275, "total_magnetization_mub_per_cell": 1.20, "e_above_lowest_polymorph_ev_per_atom": 0.246, "volume_a3_per_atom": 13.5, "lattice_angstrom": [[-1.386, 3.859, 2.035], [-3.576, 2.669, 1.022], [-1.060, -1.660, 4.242]], "species": ["Mo", "Co", "W", "Co"], "fractional_positions": [[0.750, 0.750, 0.750], [0.501, 0.501, 0.498], [0.250, 0.250, 0.250], [0.999, 0.999, 0.002]]}

***

Record 5
{"formula": "CoMoW2", "functional": "PBE-GGA", "state": "relaxed", "total_energy_ry_per_atom": -0.7860, "formation_energy_ev_per_atom": 0.267, "total_magnetization_mub_per_cell": 0.00, "e_above_lowest_polymorph_ev_per_atom": 0.192, "volume_a3_per_atom": 14.8, "lattice_angstrom": [[-4.823, -0.562, 0.262], [-1.346, -2.552, 3.914], [2.895, 3.851, -0.658]], "species": ["Mo", "Co", "W", "W"], "fractional_positions": [[0.750, 0.250, 0.500], [0.500, 0.500, 0.000], [0.000, 0.000, 0.000], [0.250, 0.750, 0.500]]}

***

Record 6
{"formula": "CoMoW2", "functional": "PBE-GGA", "state": "relaxed", "total_energy_ry_per_atom": -0.7915, "formation_energy_ev_per_atom": 0.192, "total_magnetization_mub_per_cell": 1.27, "e_above_lowest_polymorph_ev_per_atom": 0.116, "volume_a3_per_atom": 15.0, "lattice_angstrom": [[-2.606, -3.208, -2.897], [2.064, -4.580, -0.486], [-1.750, 3.291, 3.403]], "species": ["Co", "W", "W", "Mo"], "fractional_positions": [[0.250, 0.750, 0.500], [0.997, 0.997, 0.000], [0.503, 0.503, 0.000], [0.750, 0.250, 0.500]]}

***

Record 7
{"formula": "ZrCoMoW", "functional": "PBE-GGA", "state": "relaxed", "total_energy_ry_per_atom": -0.7236, "formation_energy_ev_per_atom": 0.014, "total_magnetization_mub_per_cell": 1.10, "volume_a3_per_atom": 16.0, "lattice_angstrom": [[4.489, 0.000, 0.000], [2.245, 3.888, 0.000], [2.245, 1.296, 3.666]], "species": ["Zr", "Co", "W", "Mo"], "fractional_positions": [[0.750, 0.750, 0.750], [0.000, 0.000, 0.000], [0.250, 0.250, 0.250], [0.500, 0.500, 0.500]]}

***

Record 8
{"formula": "YCo2Mo2", "functional": "PBE-GGA", "state": "relaxed", "total_energy_ry_per_atom": -0.6046, "formation_energy_ev_per_atom": 0.241, "total_magnetization_mub_per_cell": 0.00, "e_above_lowest_polymorph_ev_per_atom": 0.180, "volume_a3_per_atom": 17.4, "lattice_angstrom": [[4.332, 0.000, 0.000], [0.000, 4.332, 0.000], [2.166, 2.166, 4.647]], "species": ["Mo", "Mo", "Y", "Co", "Co"], "fractional_positions": [[0.360, 0.360, 0.280], [0.640, 0.640, 0.720], [0.000, 0.000, 0.000], [0.750, 0.250, 0.500], [0.250, 0.750, 0.500]]}

***

Copy entry 7 word for word.
{"formula": "ZrCoMoW", "functional": "PBE-GGA", "state": "relaxed", "total_energy_ry_per_atom": -0.7236, "formation_energy_ev_per_atom": 0.014, "total_magnetization_mub_per_cell": 1.10, "volume_a3_per_atom": 16.0, "lattice_angstrom": [[4.489, 0.000, 0.000], [2.245, 3.888, 0.000], [2.245, 1.296, 3.666]], "species": ["Zr", "Co", "W", "Mo"], "fractional_positions": [[0.750, 0.750, 0.750], [0.000, 0.000, 0.000], [0.250, 0.250, 0.250], [0.500, 0.500, 0.500]]}